Record 1
Below is crystalline NiAsSe2 at its relaxed geometry, with properties calculated at the PBE level.

Cell lengths 3.6613, 4.7293, 4.7296 Å; angles 63.07, 90.00, 90.00 degrees
Closest atoms and distances in Å follow each position.
Positions (direct):
As: 0.0000 0.5475 0.5474  2 Ni 2.43, 2 Se 2.62
Ni: 0.5000 0.7449 0.7449  4 Se 2.41-2.48, 2 As 2.43
Se: 0.0000 0.9392 0.9392  2 Ni 2.41, 2 As 2.62
Se: 0.5000 0.2684 0.2684  2 Ni 2.48

Calculated values
E_form (uncorrected) ... -74 meV per atom
Calculated density ... 6.63 g/cm3
Total energy ... -4.424 eV per atom

Record 2
Below is crystalline LaPrSm6Tm2 at its relaxed geometry, with properties calculated at the PBE level.

Cell lengths 9.6706, 8.9014, 8.9014 Å; angles 116.40, 93.52, 93.52 degrees
Closest atoms and distances in Å follow each position.
Positions (direct):
La: 0.2500 0.4064 0.5936  6 Sm 3.50-3.57, 2 Tm 3.59
La: 0.7500 0.5936 0.4064  6 Sm 3.50-3.57, 2 Tm 3.59
Pr: 0.2500 0.9637 0.0363  4 Tm 3.43-3.51, 6 Sm 3.54-3.75
Pr: 0.7500 0.0363 0.9637  4 Tm 3.43-3.51, 6 Sm 3.54-3.75
Sm: 0.0579 0.1072 0.7590  7 Sm 3.44-3.85, 1 Tm 3.51, 2 Pr 3.70-3.75
Sm: 0.4421 0.2410 0.8928  7 Sm 3.44-3.85, 1 Tm 3.51, 2 Pr 3.70-3.75
Sm: 0.9421 0.8928 0.2410  7 Sm 3.44-3.85, 1 Tm 3.51, 2 Pr 3.70-3.75
Sm: 0.5579 0.7590 0.1072  7 Sm 3.44-3.85, 1 Tm 3.51, 2 Pr 3.70-3.75
Sm: 0.3217 0.9837 0.4397  2 Sm 3.24-3.50, 2 Tm 3.50-3.60, 1 La 3.52, 1 Pr 3.54
Sm: 0.1783 0.5603 0.0163  2 Sm 3.24-3.50, 2 Tm 3.50-3.60, 1 La 3.52, 1 Pr 3.54
Sm: 0.6783 0.0163 0.5603  2 Sm 3.24-3.50, 2 Tm 3.50-3.60, 1 La 3.52, 1 Pr 3.54
Sm: 0.8217 0.4397 0.9837  2 Sm 3.24-3.50, 2 Tm 3.50-3.60, 1 La 3.52, 1 Pr 3.54
Sm: 0.1179 0.7043 0.4817  3 Sm 3.24-3.44, 3 Tm 3.37-3.50, 2 La 3.50-3.57
Sm: 0.3821 0.5183 0.2957  3 Sm 3.24-3.44, 3 Tm 3.37-3.50, 2 La 3.50-3.57
Sm: 0.8821 0.2957 0.5183  3 Sm 3.24-3.44, 3 Tm 3.37-3.50, 2 La 3.50-3.57
Sm: 0.6179 0.4817 0.7043  3 Sm 3.24-3.44, 3 Tm 3.37-3.50, 2 La 3.50-3.57
Tm: 0.4488 0.8016 0.7040  6 Sm 3.37-3.60, 2 Pr 3.43-3.51, 1 La 3.59
Tm: 0.0512 0.2960 0.1984  6 Sm 3.37-3.60, 2 Pr 3.43-3.51, 1 La 3.59
Tm: 0.5512 0.1984 0.2960  6 Sm 3.37-3.60, 2 Pr 3.43-3.51, 1 La 3.59
Tm: 0.9488 0.7040 0.8016  6 Sm 3.37-3.60, 2 Pr 3.43-3.51, 1 La 3.59

Calculated values
Formation energy ... 1.16 eV per formula unit
Calculated density ... 7.40 g/cm3
Total energy ... -4.581 eV per atom

Record 3
Below is crystalline LaHfSeN2 at its relaxed geometry, with properties calculated at the PBE level.

Cell lengths 4.2223, 4.2223, 5.8265 Å; angles 90.00, 90.00, 90.00 degrees
Closest atoms and distances in Å follow each position.
Positions (direct):
N: 0.0000 0.5000 0.0000  2 La 2.11
N: 0.5000 0.0000 0.0000  2 La 2.11
Hf: 0.5000 0.5000 0.5000  4 Se 2.99
Se: 0.0000 0.0000 0.5000  2 La 2.91, 4 Hf 2.99
La: 0.0000 0.0000 0.0000  4 N 2.11

Calculated values
E_form (uncorrected) ... 600 meV per atom
Relative energy among the computed polymorphs ... 1530.1 meV/atom
Calculated density ... 6.78 g/cm3
Total energy ... -6.403 eV per atom

Record 4
Below is crystalline GeSbMoCl2 at its relaxed geometry, with properties calculated at the PBE level.

Cell lengths 4.8267, 5.5338, 4.8267 Å; angles 90.00, 90.00, 90.00 degrees
Closest atoms and distances in Å follow each position.
Positions (direct):
Sb: 0.5000 0.5000 0.5000  4 Mo 3.41, 8 Cl 3.67
Mo: 0.0000 0.5000 0.0000  2 Ge 2.77
Ge: 0.0000 0.0000 0.0000  4 Cl 2.41
Cl: 0.0000 0.0000 0.5000  2 Ge 2.41
Cl: 0.5000 0.0000 0.0000  2 Ge 2.41

Calculated values
E_form (uncorrected) ... 620 meV per atom
Relative energy among the computed polymorphs ... 391.6 meV/atom
Calculated density ... 4.65 g/cm3
Total energy ... -4.032 eV per atom

Record 5
Below is crystalline CsGeSbTe2 at its relaxed geometry, with properties calculated at the PBE level.

Cell lengths 5.5322, 6.1650, 5.5322 Å; angles 90.00, 90.00, 90.00 degrees
Closest atoms and distances in Å follow each position.
Positions (direct):
Cs: 0.0000 0.5000 0.0000  2 Ge 3.08
Sb: 0.5000 0.5000 0.5000  4 Cs 3.91, 8 Te 4.14
Ge: 0.0000 0.0000 0.0000  4 Te 2.77, 2 Cs 3.08
Te: 0.0000 0.0000 0.5000  2 Ge 2.77
Te: 0.5000 0.0000 0.0000  2 Ge 2.77

Calculated values
E_form (uncorrected) ... 368 meV per atom
Relative energy among the computed polymorphs ... 374.0 meV/atom
Calculated density ... 5.13 g/cm3
Total energy ... -2.807 eV per atom

Record 6
Below is crystalline K2Cl at its relaxed geometry, with properties calculated at the PBE level.

Cell lengths 5.6006, 5.6006, 5.6006 Å; angles 60.00, 60.00, 60.00 degrees
Closest atoms and distances in Å follow each position.
Positions (direct):
K: 0.7500 0.7500 0.7500  4 Cl 3.43
K: 0.2500 0.2500 0.2500  4 Cl 3.43
Cl: 0.0000 0.0000 0.0000  8 K 3.43

Calculated values
E_form (uncorrected) ... -1060 meV per atom
Relative energy among the computed polymorphs ... 184.1 meV/atom
Calculated density ... 1.52 g/cm3
Total energy ... -2.407 eV per atom

Record 7
Below is crystalline TlW at its relaxed geometry, with properties calculated at the PBE level.

Cell lengths 8.4530, 15.1190, 5.3886 Å; angles 90.00, 90.00, 90.00 degrees
Closest atoms and distances in Å follow each position.
Positions (direct):
Tl: 0.3323 0.0000 0.0000  3 Tl 2.84-3.03, 4 W 2.93-3.09
Tl: 0.6677 0.0000 0.0000  3 Tl 2.84-3.03, 4 W 2.93-3.09
Tl: 0.9177 0.7500 0.2500  3 Tl 2.84-3.03, 4 W 2.93-3.09
Tl: 0.5823 0.7500 0.2500  3 Tl 2.84-3.03, 4 W 2.93-3.09
Tl: 0.3323 0.5000 0.5000  3 Tl 2.84-3.03, 4 W 2.93-3.09
Tl: 0.6677 0.5000 0.5000  3 Tl 2.84-3.03, 4 W 2.93-3.09
Tl: 0.9177 0.2500 0.7500  3 Tl 2.84-3.03, 4 W 2.93-3.09
Tl: 0.5823 0.2500 0.7500  3 Tl 2.84-3.03, 4 W 2.93-3.09
Tl: 0.8323 0.0000 0.5000  3 Tl 2.84-3.03, 4 W 2.93-3.09
Tl: 0.1677 0.0000 0.5000  3 Tl 2.84-3.03, 4 W 2.93-3.09
Tl: 0.4177 0.7500 0.7500  3 Tl 2.84-3.03, 4 W 2.93-3.09
Tl: 0.0823 0.7500 0.7500  3 Tl 2.84-3.03, 4 W 2.93-3.09
Tl: 0.8323 0.5000 0.0000  3 Tl 2.84-3.03, 4 W 2.93-3.09
Tl: 0.1677 0.5000 0.0000  3 Tl 2.84-3.03, 4 W 2.93-3.09
Tl: 0.4177 0.2500 0.2500  3 Tl 2.84-3.03, 4 W 2.93-3.09
Tl: 0.0823 0.2500 0.2500  3 Tl 2.84-3.03, 4 W 2.93-3.09
W: 0.0000 0.9155 0.0000  3 W 2.55-2.79
W: 0.0000 0.0845 0.0000  3 W 2.55-2.79
W: 0.2500 0.8345 0.2500  3 W 2.55-2.79
W: 0.2500 0.6655 0.2500  3 W 2.55-2.79
W: 0.0000 0.4155 0.5000  3 W 2.55-2.79
W: 0.0000 0.5845 0.5000  3 W 2.55-2.79
W: 0.2500 0.3345 0.7500  3 W 2.55-2.79
W: 0.2500 0.1655 0.7500  3 W 2.55-2.79
W: 0.5000 0.9155 0.5000  3 W 2.55-2.79
W: 0.5000 0.0845 0.5000  3 W 2.55-2.79
W: 0.7500 0.8345 0.7500  3 W 2.55-2.79
W: 0.7500 0.6655 0.7500  3 W 2.55-2.79
W: 0.5000 0.4155 0.0000  3 W 2.55-2.79
W: 0.5000 0.5845 0.0000  3 W 2.55-2.79
W: 0.7500 0.3345 0.2500  3 W 2.55-2.79
W: 0.7500 0.1655 0.2500  3 W 2.55-2.79

Calculated values
Formation energy ... 2.48 eV per formula unit
Relative energy among the computed polymorphs ... 616.4 meV/atom
Calculated density ... 14.98 g/cm3
Total energy ... -6.419 eV per atom

Record 8
Below is crystalline Li2Be2As3 at its relaxed geometry, with properties calculated at the PBE level.

Cell lengths 7.8670, 7.8670, 10.4428 Å; angles 54.61, 54.61, 26.00 degrees
Closest atoms and distances in Å follow each position.
Positions (direct):
Li: 0.7371 0.7371 0.6584  6 As 2.69-2.92
Li: 0.2629 0.2629 0.3416  6 As 2.69-2.92
Li: 0.6139 0.6139 0.0342  7 As 2.64-2.94, 2 Be 2.80
Li: 0.3861 0.3861 0.9658  7 As 2.64-2.94, 2 Be 2.80
Be: 0.9979 0.9979 0.2911  4 As 2.23-2.31, 2 Be 2.39
Be: 0.0021 0.0021 0.7089  4 As 2.23-2.31, 2 Be 2.39
Be: 0.5739 0.5739 0.3496  4 As 2.25-2.33, 2 Be 2.39
Be: 0.4261 0.4261 0.6504  4 As 2.25-2.33, 2 Be 2.39
As: 0.9322 0.9322 0.1441  1 Be 2.28, 1 As 2.44
As: 0.0678 0.0678 0.8559  1 Be 2.28, 1 As 2.44
As: 0.8258 0.8258 0.8158  3 Be 2.23-2.31
As: 0.1742 0.1742 0.1842  3 Be 2.23-2.31
As: 0.6036 0.6036 0.5436  4 Be 2.25-2.33
As: 0.3964 0.3964 0.4564  4 Be 2.25-2.33

Calculated values
Formation energy ... -2.16 eV per formula unit
Calculated density ... 3.74 g/cm3
Total energy ... -3.912 eV per atom

Record 9
Below is crystalline CdGeF2 at its relaxed geometry, with properties calculated at the PBE level.

Cell lengths 6.5904, 6.5904, 7.0258 Å; angles 62.03, 62.03, 90.00 degrees
Closest atoms and distances in Å follow each position.
Positions (direct):
Ge: 0.5000 0.5000 0.0000  4 F 2.11
Ge: 0.2500 0.7500 0.5000  4 F 2.11
F: 0.3793 0.1250 0.2500  2 Ge 2.11
F: 0.3707 0.6250 0.2500  2 Ge 2.11
F: 0.3750 0.6207 0.7500  2 Ge 2.11
F: 0.8750 0.6293 0.7500  2 Ge 2.11
Cd: 0.0000 0.0000 0.0000  12 F 3.89-4.27, 4 Ge 4.22, 4 Cd 4.22
Cd: 0.7500 0.2500 0.5000  12 F 3.89-4.27, 4 Cd 4.22, 4 Ge 4.22

Calculated values
E_form (uncorrected) ... -1254 meV per atom
Relative energy among the computed polymorphs ... 103.5 meV/atom
Calculated density ... 3.24 g/cm3
Total energy ... -3.573 eV per atom

Record 10
Below is crystalline NdYN at its relaxed geometry, with properties calculated at the PBE level.

Cell lengths 6.2461, 3.5662, 3.5662 Å; angles 120.00, 90.00, 90.00 degrees
Closest atoms and distances in Å follow each position.
Positions (direct):
Y: 0.1224 0.0000 0.0000  3 N 2.39
Nd: 0.5602 0.6667 0.3333  3 N 2.56
N: 0.3173 0.3333 0.6667  3 Y 2.39, 3 Nd 2.56

Calculated values
E_form (uncorrected) ... -943 meV per atom
Relative energy among the computed polymorphs ... 0.0 meV/atom
Calculated density ... 5.97 g/cm3
Total energy ... -7.462 eV per atom

Record 11
Below is crystalline Pr4AsBr5 at its relaxed geometry, with properties calculated at the PBE level.

Cell lengths 4.2052, 8.7251, 9.6571 Å; angles 103.13, 102.58, 90.00 degrees
Closest atoms and distances in Å follow each position.
Positions (direct):
Pr: 0.6536 0.0825 0.3072  1 As 2.82, 4 Br 3.02-3.08
Pr: 0.0002 0.2259 0.0005  2 As 2.88, 4 Br 3.06-3.19
Pr: 0.3464 0.9175 0.6928  1 As 2.82, 4 Br 3.02-3.08
Pr: 0.9998 0.7741 0.9995  2 As 2.88, 4 Br 3.06-3.19
As: 0.5000 0.0000 0.0000  6 Pr 2.82-2.88
Br: 0.1666 0.3358 0.3332  3 Pr 3.02-3.06
Br: 0.1711 0.8356 0.3421  4 Pr 3.08-3.21
Br: 0.8289 0.1644 0.6579  4 Pr 3.08-3.21
Br: 0.5000 0.5000 0.0000  4 Pr 3.19
Br: 0.8334 0.6642 0.6668  3 Pr 3.02-3.06

Calculated values
E_form (uncorrected) ... -1634 meV per atom
Calculated density ... 5.13 g/cm3
Total energy ... -4.847 eV per atom

Record 12
Below is crystalline TlMoSe at its relaxed geometry, with properties calculated at the PBE level.

Cell lengths 7.0685, 7.0685, 7.0685 Å; angles 154.40, 154.40, 36.52 degrees
Closest atoms and distances in Å follow each position.
Positions (direct):
Mo: 0.9767 0.9767 0.0000  4 Se 2.58
Se: 0.3781 0.3781 0.0000  4 Mo 2.58
Tl: 0.6452 0.6452 0.0000  4 Tl 3.13, 4 Mo 3.17

Calculated values
E_form (uncorrected) ... 128 meV per atom
Relative energy among the computed polymorphs ... 73.5 meV/atom
Calculated density ... 9.56 g/cm3
Total energy ... -5.433 eV per atom